No. 1
# GGA-PBE ZrGaAgTe2, optimized geometry
data_ZrGaAgTe2
_cell_length_a 5.583
_cell_length_b 5.583
_cell_length_c 5.486
_cell_angle_alpha 90.00
_cell_angle_beta 90.00
_cell_angle_gamma 90.00
_symmetry_space_group_name_H-M 'P 4/m m m'
_symmetry_Int_Tables_number 123
_symmetry_space_group_name_Hall '-P 4 2'
loop_
_atom_site_label
_atom_site_fract_x
_atom_site_fract_y
_atom_site_fract_z
Zr1 0.000 0.000 0.000
Ga1 0.500 0.500 0.500
Ag1 0.000 0.000 0.500
Te1 0.000 0.500 0.000
# formation energy without anion corrections	0.072	eV per atom

No. 2
# GGA-PBE PrY8Tl2, optimized geometry
data_PrY8Tl2
_cell_length_a 8.930
_cell_length_b 15.079
_cell_length_c 5.710
_cell_angle_alpha 90.00
_cell_angle_beta 112.98
_cell_angle_gamma 90.00
_symmetry_space_group_name_H-M 'C 1 2/m 1'
_symmetry_Int_Tables_number 12
loop_
_symmetry_equiv_pos_as_xyz
'x,y,z'
'-x,-y,-z'
'-x,y,-z'
'x,-y,z'
'x+1/2,y+1/2,z'
'-x+1/2,-y+1/2,-z'
'-x+1/2,y+1/2,-z'
'x+1/2,-y+1/2,z'
loop_
_atom_site_label
_atom_site_fract_x
_atom_site_fract_y
_atom_site_fract_z
Pr1 0.000 0.000 0.000
Y1 0.000 0.223 0.000
Y2 0.094 0.500 0.796
Y3 0.208 0.115 0.617
Tl1 0.000 0.306 0.500
# formation energy	-0.03	eV/atom

No. 3
# GGA-PBE Hf2ZrSi, optimized geometry
data_Hf2ZrSi
_cell_length_a 5.260
_cell_length_b 5.373
_cell_length_c 6.181
_cell_angle_alpha 75.07
_cell_angle_beta 89.52
_cell_angle_gamma 75.16
_symmetry_space_group_name_H-M 'P 1'
_symmetry_Int_Tables_number 1
loop_
_symmetry_equiv_pos_as_xyz
'x,y,z'
loop_
_atom_site_label
_atom_site_fract_x
_atom_site_fract_y
_atom_site_fract_z
Hf1 0.000 0.000 0.000
Hf2 0.065 0.821 0.546
Hf3 0.512 0.025 0.246
Hf4 0.900 0.397 0.366
Zr1 0.441 0.200 0.692
Zr2 0.611 0.628 0.868
Si1 0.146 0.472 0.965
Si2 0.364 0.556 0.275
# formation energy without anion corrections	-0.455	eV per atom

No. 4
# GGA-PBE CuSn3Pd, optimized geometry
data_CuSn3Pd
_cell_length_a 4.999
_cell_length_b 4.999
_cell_length_c 4.999
_cell_angle_alpha 90.00
_cell_angle_beta 90.00
_cell_angle_gamma 90.00
_symmetry_space_group_name_H-M 'P m -3 m'
_symmetry_Int_Tables_number 221
_symmetry_space_group_name_Hall '-P 4 2 3'
loop_
_atom_site_label
_atom_site_fract_x
_atom_site_fract_y
_atom_site_fract_z
Cu1 0.000 0.000 0.000
Sn1 0.000 0.000 0.500
Pd1 0.500 0.500 0.500
# formation energy	0.37	eV/atom

Number 1: total energy -0.14957 hartree per atom, size of the total moment 0.1 μB per formula unit. Number 2: total energy -0.20549 hartree per atom, size of the total moment 0.0 μB per formula unit. Number 3: total energy -0.32796 hartree per atom, size of the total moment 0.0 μB per formula unit. Number 4: total energy -0.14306 hartree per atom, size of the total moment 0.0 μB per formula unit.